# BaCo2BiF8 PBE with a Hubbard U optimized geometry
data_BaCo2BiF8
_cell_length_a 4.288
_cell_length_b 5.441
_cell_length_c 8.514
_cell_angle_alpha 83.33
_cell_angle_beta 89.58
_cell_angle_gamma 82.85
_space_group_name_H-M_alt 'P -1'
_space_group_IT_number 2
_space_group_name_Hall '-P 1'
loop_
_atom_site_label
_atom_site_type_symbol
_atom_site_fract_x
_atom_site_fract_y
_atom_site_fract_z
Ba1 Ba 0.000 0.000 0.000
Co1 Co 0.472 0.463 0.704
Bi1 Bi 0.000 0.000 0.500
F1 F 0.083 0.735 0.306
F2 F 0.116 0.746 0.737
F3 F 0.437 0.254 0.491
F4 F 0.451 0.266 0.918
# E, eV for the cell shown: -59.913